1.
The following is a DFT calculation (PBE) of a geometry-optimized LiPu2IrO8 structure.

Geometry as extended XYZ:
```
12
Lattice="5.0964 0.0000 0.0000 0.0000 5.0964 0.0000 -2.5482 -2.5482 5.1842" Properties=species:S:1:pos:R:3 pbc="T T T"
O -1.3146 1.2103 3.8221
O 1.3154 1.2111 3.8227
O 3.7593 1.2328 1.3614
O -1.3154 -1.2111 3.8227
O 1.3371 3.8636 1.3614
O 1.3146 -1.2103 3.8221
O 3.7585 3.8628 1.3620
O 1.3378 1.2335 1.3620
Pu 0.0000 2.5482 2.5921
Pu 2.5482 2.5482 0.0000
Ir 2.5482 0.0000 2.5921
Li 0.0000 0.0000 0.0000
```

* total magnetic moment: 6.00 μB per formula unit
* total energy: -8.490 eV per atom
* E_form (uncorrected): -1898.3 meV per atom

***

2.
The following is a DFT calculation (PBE) of a geometry-optimized Li2PuIrO8 structure.

Geometry as extended XYZ:
```
12
Lattice="-1.4606 -0.9508 -5.7062 3.0021 -5.0635 0.9727 -4.5900 0.9949 3.6796" Properties=species:S:1:pos:R:3 pbc="T T T"
O -2.2254 -3.2153 0.8047
O -0.2112 -4.1915 -3.7376
O -2.7244 -3.4990 -1.9884
O -1.9981 -1.6382 -4.1162
O -4.3022 -0.3842 -1.8045
O 0.1268 -2.6794 -0.4369
O -3.7872 0.0476 1.2621
O -1.5349 -0.4044 -0.8776
Li 0.7708 -3.0071 -2.3667
Li -2.6399 -1.4815 -2.1967
Pu -0.4086 -3.5378 1.1428
Ir 0.0000 0.0000 0.0000
```

* total magnetic moment: 1.05 μB per formula unit
* total energy: -6.864 eV per atom
* E_form (uncorrected): -1307.1 meV per atom

***

3.
The following is a DFT calculation (PBE) of a geometry-optimized LiPuIrO4 structure.

Geometry as extended XYZ:
```
14
Lattice="-3.3386 2.3194 3.7030 -2.6857 -5.1845 -3.2570 4.5185 -1.0707 4.7445" Properties=species:S:1:pos:R:3 pbc="T T T"
Pu 0.5900 0.6244 4.2238
Pu -1.6693 1.1597 1.8515
Ir -0.7529 -1.9679 2.5953
Ir 0.9164 -3.1276 0.7438
O 0.9901 -3.0201 2.7844
O -1.0397 -2.5392 0.6530
O -3.8535 -3.4159 0.5767
O -2.4959 -0.9156 2.4062
O 0.7848 0.5659 6.3474
O 2.3477 -0.5199 4.6139
O -0.4661 -1.3966 4.5375
O -2.2906 -4.5017 -1.1568
Li 2.6977 -2.3071 3.8773
Li -4.2035 -1.6287 1.3133
```

* total magnetic moment: 2.74 μB per formula unit
* total energy: -8.205 eV per atom
* E_form (uncorrected): -1784.9 meV per atom

***

4.
The following is a DFT calculation (PBE) of a geometry-optimized RbLiIrO4 structure.

Geometry as extended XYZ:
```
7
Lattice="6.0634 0.0000 0.0000 0.0000 6.0634 0.0000 -3.0317 -3.0317 3.8019" Properties=species:S:1:pos:R:3 pbc="T T T"
O 4.5058 2.3685 1.2151
O 1.5575 3.6949 1.2151
O -0.6632 -1.4742 2.5868
O 0.6632 1.4742 2.5868
Rb 0.0000 0.0000 0.0000
Ir 0.0000 3.0317 1.9010
Li 3.0317 3.0317 0.0000
```

* total magnetic moment: 1.07 μB per formula unit
* total energy: -5.579 eV per atom
* E_form (uncorrected): -1068.5 meV per atom

***

5.
The following is a DFT calculation (PBE) of a geometry-optimized Rb2Li2IrO4 structure.

Geometry as extended XYZ:
```
9
Lattice="-2.8841 -1.4088 -1.0335 3.1651 -4.9330 -2.1082 -0.0780 -0.4088 6.2764" Properties=species:S:1:pos:R:3 pbc="T T T"
O -0.1303 -1.0521 1.7980
O -0.8700 -2.0257 5.1894
O 1.0729 -4.7249 -2.0547
O 0.3333 -5.6985 1.3367
Rb -1.1459 -3.6893 2.7259
Rb 1.3489 -3.0614 0.4089
Ir 0.0000 0.0000 0.0000
Li -0.9801 -0.7269 3.7261
Li 1.1831 -6.0238 -0.5914
```

* total magnetic moment: 0.99 μB per formula unit
* total energy: -5.129 eV per atom
* E_form (uncorrected): -1300.2 meV per atom

***

6.
The following is a DFT calculation (PBE) of a geometry-optimized Rb2LiIrO6 structure.

Geometry as extended XYZ:
```
10
Lattice="5.8996 0.0000 0.0000 2.9498 5.1092 0.0000 2.9498 1.7031 4.8170" Properties=species:S:1:pos:R:3 pbc="T T T"
Ir 0.0000 0.0000 0.0000
O 5.8996 1.5314 1.0829
O 7.5231 4.3435 1.0829
O 4.2761 4.3435 1.0829
O 5.8996 5.2808 3.7341
O 4.2761 2.4688 3.7341
O 7.5231 2.4688 3.7341
Li 5.8996 3.4061 2.4085
Rb 2.9498 1.7031 1.2043
Rb 8.8494 5.1092 3.6128
```

* total magnetic moment: 0.00 μB per formula unit
* total energy: -5.256 eV per atom
* E_form (uncorrected): -1010.0 meV per atom

***

7.
The following is a DFT calculation (PBE) of a geometry-optimized Rb3LiIr2O8 structure.

Geometry as extended XYZ:
```
14
Lattice="6.0337 0.0000 0.0000 -3.0169 5.2254 0.0000 0.0000 0.0000 8.0519" Properties=species:S:1:pos:R:3 pbc="T T T"
O -1.4474 4.3192 2.5956
O 0.0000 1.8123 2.5956
O 1.4474 4.3192 2.5956
O 3.0169 1.7418 0.0006
O 1.5695 0.9062 5.4563
O 4.4642 0.9062 5.4563
O 3.0169 3.4131 5.4563
O 0.0000 3.4836 8.0514
Ir 3.0169 1.7418 6.2587
Ir 0.0000 3.4836 1.7933
Rb 0.0000 3.4836 5.2487
Rb 0.0000 0.0000 0.0000
Rb 3.0169 1.7418 2.8033
Li 0.0000 0.0000 4.0260
```

* total magnetic moment: 2.08 μB per formula unit
* total energy: -5.462 eV per atom
* E_form (uncorrected): -1019.3 meV per atom

***

8.
The following is a DFT calculation (PBE) of a geometry-optimized LiIrRh2O structure.

Geometry as extended XYZ:
```
5
Lattice="-2.1890 -1.6183 -3.0759 -2.3661 -1.9688 2.7197 -2.3088 2.9213 0.1061" Properties=species:S:1:pos:R:3 pbc="T T T"
Rh -1.1831 -0.9844 1.3599
Rh -1.0945 -0.8092 -1.5379
Li -1.1544 1.4607 0.0530
Ir -3.4319 -0.3329 -0.1250
O 0.0000 0.0000 0.0000
```

* total magnetic moment: 0.91 μB per formula unit
* total energy: -6.209 eV per atom
* E_form (uncorrected): -121.5 meV per atom

***

9.
The following is a DFT calculation (PBE) of a geometry-optimized Li2IrRh2O6 structure.

Geometry as extended XYZ:
```
11
Lattice="5.3916 -0.0057 0.0407 -2.6698 4.6842 0.0407 -0.9927 -1.7063 4.7334" Properties=species:S:1:pos:R:3 pbc="T T T"
O 1.3349 2.2945 3.4632
O 0.3942 0.6777 1.3516
O -1.4266 0.6868 3.3851
O 0.4270 3.8729 1.4297
O 3.1557 2.2854 1.4297
O 1.3021 -0.9007 3.3851
Li 4.0461 0.7771 0.0407
Li -1.3242 3.9014 0.0407
Rh 2.1913 0.7142 2.4074
Rh -0.4622 2.2579 2.4074
Ir -0.4964 -0.8532 2.3667
```

* total magnetic moment: 0.99 μB per formula unit
* total energy: -6.214 eV per atom
* E_form (uncorrected): -1019.0 meV per atom

***

10.
The following is a DFT calculation (PBE) of a geometry-optimized Li3IrRh3O8 structure.

Geometry as extended XYZ:
```
15
Lattice="6.2369 0.0000 0.0000 -3.1185 5.4000 -0.0189 0.0000 -3.5856 4.7582" Properties=species:S:1:pos:R:3 pbc="T T T"
O 0.0000 1.8035 1.2969
O 0.0000 -0.0220 3.3884
O 1.5875 2.7271 3.3791
O 1.5309 -0.9127 1.3602
O 3.1185 1.8364 1.3508
O 3.1185 0.0109 3.4424
O 4.7060 -0.9127 1.3602
O -1.5875 2.7271 3.3791
Rh -1.5592 0.9072 2.3696
Rh 1.5592 0.9072 2.3696
Rh 3.1185 -1.7928 2.3791
Li 0.0000 0.0000 0.0000
Li 1.5592 2.7000 -0.0094
Li -1.5592 2.7000 -0.0094
Ir 0.0000 -1.7928 2.3791
```

* total magnetic moment: 0.94 μB per formula unit
* total energy: -6.154 eV per atom
* E_form (uncorrected): -1065.6 meV per atom

***

11.
The following is a DFT calculation (PBE) of a geometry-optimized LiIrRhO6 structure.

Geometry as extended XYZ:
```
18
Lattice="5.2311 0.0000 0.0000 -2.6156 4.5303 0.0000 0.0000 0.0000 8.9998" Properties=species:S:1:pos:R:3 pbc="T T T"
Ir 0.0000 3.0202 6.7498
Ir 2.6156 1.5101 2.2499
O -1.6160 2.8590 7.7952
O 0.6685 4.5003 7.7952
O 1.6680 2.8290 1.2046
O -0.9476 1.7012 5.7045
O 3.5631 2.8290 3.2953
O 4.2316 1.6712 1.2046
O 0.9476 1.7012 7.7952
O 1.9471 0.0300 1.2046
O -0.6685 4.5003 5.7045
O 0.9995 1.6712 3.2953
O 3.2840 0.0300 3.2953
O 1.6160 2.8590 5.7045
Li 0.0000 0.0000 4.4999
Li 0.0000 0.0000 0.0000
Rh 2.6156 1.5101 6.7498
Rh 0.0000 3.0202 2.2499
```

* total magnetic moment: 0.31 μB per formula unit
* total energy: -6.104 eV per atom
* E_form (uncorrected): -784.9 meV per atom

***

12.
The following is a DFT calculation (PBE) of a geometry-optimized LiIrRuO2 structure.

Geometry as extended XYZ:
```
5
Lattice="-3.4019 -0.8735 -1.3038 1.1680 -5.0042 0.3050 -1.3192 -0.0943 3.5053" Properties=species:S:1:pos:R:3 pbc="T T T"
O -0.6596 -0.0472 1.7526
O -1.7010 -0.4367 -0.6519
Ru 0.0000 0.0000 0.0000
Li -1.7766 -2.9860 1.2532
Ir 0.5840 -2.5021 0.1525
```

* total magnetic moment: 0.00 μB per formula unit
* total energy: -5.995 eV per atom
* E_form (uncorrected): -1.2 meV per atom

***

13.
The following is a DFT calculation (PBE) of a geometry-optimized LiIrRuO6 structure.

Geometry as extended XYZ:
```
18
Lattice="-0.7540 4.8463 1.8502 -4.0820 -3.2258 -0.6399 1.0996 -3.0812 8.5187" Properties=species:S:1:pos:R:3 pbc="T T T"
O -3.6610 -3.3781 5.4783
O -3.6034 -2.8483 7.8700
O -2.3298 -0.9498 6.1847
O -2.8780 0.5947 1.9266
O -2.9108 1.7057 4.5402
O -1.6097 -4.6780 6.9508
O -1.4066 -0.5109 3.5443
O -0.0755 1.9173 4.2508
O -2.1268 3.2173 2.7782
O -0.1331 1.3876 1.8591
O -0.8585 -2.0555 7.8025
O -0.8257 -3.1664 5.1888
Li 0.5498 -1.5406 4.2593
Li 0.0000 0.0000 0.0000
Ru -1.5885 1.3853 3.1499
Ru -2.1480 -2.8460 6.5792
Ir -1.0387 -0.1553 7.4092
Ir -2.6978 -1.3054 2.3198
```

* total magnetic moment: 0.06 μB per formula unit
* total energy: -6.455 eV per atom
* E_form (uncorrected): -922.0 meV per atom

***

14.
The following is a DFT calculation (PBE) of a geometry-optimized Li2IrRuO6 structure.

Geometry as extended XYZ:
```
10
Lattice="3.8063 0.0000 0.0000 0.0000 5.5859 0.0000 0.0000 0.0000 5.5859" Properties=species:S:1:pos:R:3 pbc="T T T"
O 2.7986 4.1916 1.3943
O 0.7732 0.0000 0.0000
O 2.7986 1.3943 1.3943
O 0.7718 2.7929 2.7929
O 2.7986 1.3943 4.1916
O 2.7986 4.1916 4.1916
Li 3.2842 2.7929 0.0000
Li 3.2842 0.0000 2.7929
Ru 2.5946 0.0000 0.0000
Ir 2.6360 2.7929 2.7929
```

* total magnetic moment: 1.81 μB per formula unit
* total energy: -6.152 eV per atom
* E_form (uncorrected): -980.2 meV per atom

***

15.
The following is a DFT calculation (PBE) of a geometry-optimized LiSbIrO2 structure.

Geometry as extended XYZ:
```
5
Lattice="-0.8408 -1.9320 -3.1302 6.0546 -0.1358 -1.5425 0.4089 -3.2401 1.8900" Properties=species:S:1:pos:R:3 pbc="T T T"
Sb 2.8113 -2.6539 -1.3914
O -0.4204 -0.9660 -1.5651
O 0.2044 -1.6201 0.9450
Ir 0.0000 0.0000 0.0000
Li 3.0273 -0.0679 -0.7713
```

* total magnetic moment: 1.38 μB per formula unit
* total energy: -5.116 eV per atom
* E_form (uncorrected): -153.3 meV per atom

***

16.
The following is a DFT calculation (PBE) of a geometry-optimized Li2SbIrO8 structure.

Geometry as extended XYZ:
```
12
Lattice="-3.0439 -1.8482 3.3507 -3.0064 -1.5926 -2.9078 3.0256 -5.3472 -0.2011" Properties=species:S:1:pos:R:3 pbc="T T T"
Ir 0.0000 0.0000 0.0000
O -2.8802 -5.1413 -0.6000
O -1.1133 -6.0110 1.9716
O -2.6319 -3.3267 2.0725
O -0.1445 -3.6467 0.8418
O -1.9114 -2.7770 -1.7298
O -1.5105 -0.8708 0.4234
O -0.3928 -5.4612 -1.8307
O -1.5142 -7.9172 -0.1816
Sb 1.5128 -2.6736 -0.1006
Li -2.2823 -3.0323 0.1722
Li -0.7424 -5.7557 0.0696
```

* total magnetic moment: 0.00 μB per formula unit
* total energy: -5.723 eV per atom
* E_form (uncorrected): -1016.2 meV per atom

***

17.
The following is a DFT calculation (PBE) of a geometry-optimized Li2SbIrO6 structure.

Geometry as extended XYZ:
```
10
Lattice="-2.1922 0.7277 -3.0796 -3.8331 -3.6836 1.8582 -2.5955 4.1246 2.8222" Properties=species:S:1:pos:R:3 pbc="T T T"
O -6.4299 0.8639 1.2565
O -5.1299 -1.2018 -0.1570
O -3.6447 0.3634 1.7355
O -0.3875 0.1286 -0.5444
O -3.2102 0.6431 -1.0876
O -4.5101 2.7088 0.3259
Ir -4.7150 0.7186 0.2320
Sb -1.4662 0.4867 -2.0598
Li -3.2603 2.7137 -1.3458
Li -3.8790 -1.1903 -1.8278
```

* total magnetic moment: 0.00 μB per formula unit
* total energy: -5.802 eV per atom
* E_form (uncorrected): -1145.7 meV per atom

***

18.
The following is a DFT calculation (PBE) of a geometry-optimized Li2ScIrO6 structure.

Geometry as extended XYZ:
```
20
Lattice="-4.6198 -2.1792 -1.0791 1.4223 -4.3743 2.7446 -2.8684 3.0397 6.3311" Properties=species:S:1:pos:R:3 pbc="T T T"
Sc -0.7230 -0.6673 4.5379
Sc -2.3099 -1.0896 -0.5396
O -4.1702 -3.7187 4.9411
O -2.5418 -2.7543 6.8701
O -5.4039 -0.0902 6.1367
O -1.8490 -2.4380 4.2928
O -0.6620 -3.4236 1.8599
O -3.9896 -3.6041 2.0609
O -3.5241 -0.7595 1.1265
O -2.0762 0.0903 5.9357
O -0.6414 -0.9873 0.7523
O -1.8957 0.2049 3.0555
O -4.2168 -1.0759 3.7038
O -5.4245 -2.5265 7.2443
Ir 0.7112 -2.1872 1.3723
Ir -3.7441 0.4303 2.6260
Li -2.3886 -2.4048 2.3137
Li -3.6773 -1.1090 5.6829
Li -2.1375 2.1256 4.8135
Li -3.9284 -5.6394 3.1831
```

* total magnetic moment: 0.00 μB per formula unit
* total energy: -6.592 eV per atom
* E_form (uncorrected): -1715.0 meV per atom

***

19.
The following is a DFT calculation (PBE) of a geometry-optimized LiScIrO4 structure.

Geometry as extended XYZ:
```
14
Lattice="6.3065 0.0000 0.0000 -3.1533 5.2162 -0.4983 0.0000 -3.2586 5.3588" Properties=species:S:1:pos:R:3 pbc="T T T"
Li 0.0000 -1.6712 4.4890
Li 3.1533 3.6289 0.3716
O 1.4135 2.7206 3.4894
O 3.1533 1.6876 1.3353
O -1.4135 2.7206 3.4894
O 0.0000 1.6249 1.2972
O 1.7398 -0.7629 1.3711
O 4.5668 -0.7629 1.3711
O 3.1533 0.3328 3.5634
O 0.0000 0.2700 3.5252
Ir -1.5766 0.9788 2.4303
Ir 1.5766 0.9788 2.4303
Sc 3.1533 -1.6293 2.6794
Sc 3.1533 0.0000 0.0000
```

* total magnetic moment: 0.56 μB per formula unit
* total energy: -7.260 eV per atom
* E_form (uncorrected): -1983.3 meV per atom

***

20.
The following is a DFT calculation (PBE) of a geometry-optimized LiScIrO6 structure.

Geometry as extended XYZ:
```
18
Lattice="-0.8289 -1.0961 5.0686 4.8973 0.1298 -1.8917 0.5272 8.6596 1.9589" Properties=species:S:1:pos:R:3 pbc="T T T"
O 4.8039 5.2135 1.1281
O -0.0949 0.7294 2.0779
O 0.9349 0.1118 4.5311
O 2.1221 5.4774 0.6830
O 1.9894 7.2022 2.7314
O 3.0373 4.8568 3.1804
O 4.6906 6.9639 3.0579
O -0.2082 2.4798 4.0077
O 2.6063 0.4911 2.4045
O 2.4736 2.2159 4.4528
O 3.6608 7.5815 0.6048
O 1.5584 2.8365 1.9554
Li 0.2636 4.3298 0.9794
Li 0.0000 0.0000 0.0000
Ir 1.2117 1.4774 3.2382
Ir 3.3840 6.2159 1.8976
Sc 3.1204 1.8861 0.9181
Sc 1.4753 5.8072 4.2177
```

* total magnetic moment: 0.00 μB per formula unit
* total energy: -6.635 eV per atom
* E_form (uncorrected): -1429.3 meV per atom

***

21.
The following is a DFT calculation (PBE) of a geometry-optimized LiIrSeO2 structure.

Geometry as extended XYZ:
```
5
Lattice="-3.0496 2.4503 0.1447 -2.7392 -3.5087 1.6871 0.9750 0.9976 3.6577" Properties=species:S:1:pos:R:3 pbc="T T T"
Ir -2.4068 -0.0304 2.7447
Se 0.0000 0.0000 0.0000
O -1.5248 1.2251 0.0723
O 0.4875 0.4988 1.8289
Li -1.3696 -1.7543 0.8436
```

* total magnetic moment: 2.06 μB per formula unit
* total energy: -4.053 eV per atom
* E_form (uncorrected): 782.6 meV per atom